DyGa2Cu | PBE | relaxed

abc: 3.2730 3.2730 6.7855
angles: 90.00 90.00 90.00
Atoms (fractional coordinates):
Dy 0.0000 0.0000 0.0000
Ga 0.5000 0.5000 0.3012
Ga 0.5000 0.5000 0.6988
Cu 0.0000 0.0000 0.5000

Summary:
As for the density of states at the Fermi level: 2.1 states/eV/f.u. The final energy comes out at -3.98 eV per atom. The space-group type is P4/mmm (123). The value obtained for the energy of formation from the pure elements is -0.296 eV/atom.

Na2YF4 | PBE | relaxed

abc: 5.8821 10.6157 3.6753
angles: 90.00 90.00 90.00
Atoms (fractional coordinates):
Na 0.0142 0.1867 0.0000
Na 0.4858 0.6867 0.0000
Na 0.5142 0.3133 0.0000
Na 0.9858 0.8133 0.0000
Y 0.0000 0.5000 0.5000
Y 0.5000 0.0000 0.5000
F 0.1422 0.4015 0.0000
F 0.1849 0.6832 0.5000
F 0.3151 0.1832 0.5000
F 0.3578 0.9015 0.0000
F 0.6422 0.0985 0.0000
F 0.6849 0.8168 0.5000
F 0.8151 0.3168 0.5000
F 0.8578 0.5985 0.0000

Summary:
As for the density of states at the Fermi level: 1.5 states/eV/f.u. The uncorrected formation energy is -3.02 eV/atom. The final energy comes out at -5.38 eV per atom. The space-group type is Pbam (55).